Below is Ta8Ni at its PBEsol-relaxed geometry, with properties calculated at the SCAN level.

Values from the calculation:
ΔH_f (0 K) = -0.031 eV per atom
E = -61.014 eV per atom
V = 16.90 Å³ per atom
DOS at the Fermi energy = 0.80 states/eV per atom

a b c (Å): 6.944 6.944 6.944
angles (deg): 93.34 93.34 152.08
Atoms (fractional coordinates):
Ta1 0.000 0.330 0.330
Ta2 0.000 0.670 0.670
Ta3 0.330 0.000 0.330
Ta4 0.337 0.337 0.673
Ta5 0.337 0.663 0.000
Ta6 0.663 0.337 0.000
Ta7 0.663 0.663 0.327
Ta8 0.670 0.000 0.670
Ni1 0.000 0.000 0.000